(1)
## CeNiOs (PBE)

Data for an optimized crystal structure of CeNiOs.

## Properties
Polymorph energy (0 for the lowest one) (eV/f.u.): 1.25
ρ (g/cm³): 12.0
Calculated formation energy (eV/atom): 0.087

Unit cell a=5.172 b=5.172 c=5.172 alpha=141.16 beta=141.16 gamma=56.10
Positions (direct):
Ce 0.000 0.000 0.000
Ni 0.705 0.705 0.000
Os 0.286 0.286 0.000

***

(2)
## K2AlIrC (PBE)

Data for an optimized crystal structure of K2AlIrC.

## Properties
ρ (g/cm³): 3.3
Calculated formation energy (eV/atom): 0.833

Unit cell a=6.393 b=6.393 c=3.813 alpha=90.00 beta=90.00 gamma=90.00
Positions (direct):
K 0.000 0.500 0.000
K 0.500 0.000 0.000
Al 0.000 0.000 0.500
Ir 0.500 0.500 0.000
C 0.500 0.500 0.500

***

(3)
## Hf3RhCl (PBE)

Data for an optimized crystal structure of Hf3RhCl.

## Properties
Polymorph energy (0 for the lowest one) (eV/f.u.): 0.00
Raw formation energy (eV/atom): 0.1367
ρ (g/cm³): 11.2

Unit cell a=4.638 b=4.638 c=4.638 alpha=90.00 beta=90.00 gamma=90.00
Positions (direct):
Hf 0.000 0.000 0.500
Hf 0.000 0.500 0.000
Hf 0.500 0.000 0.000
Rh 0.500 0.500 0.500
Cl 0.000 0.000 0.000

***

(4)
## Ba3Sc2PaO9 (PBE)

Data for an optimized crystal structure of Ba3Sc2PaO9.

## Properties
Raw formation energy (eV/atom): -3.1610
ρ (g/cm³): 6.2

Unit cell a=6.039 b=6.039 c=7.452 alpha=90.00 beta=90.00 gamma=120.00
Positions (direct):
Ba 0.000 0.000 0.000
Ba 0.333 0.667 0.683
Ba 0.667 0.333 0.317
Sc 0.333 0.667 0.159
Sc 0.667 0.333 0.841
Pa 0.000 0.000 0.500
O 0.000 0.500 0.000
O 0.168 0.336 0.330
O 0.168 0.832 0.330
O 0.336 0.168 0.670
O 0.500 0.000 0.000
O 0.500 0.500 0.000
O 0.664 0.832 0.330
O 0.832 0.168 0.670
O 0.832 0.664 0.670

***

(5)
## Ta3Fe (PBE)

Data for an optimized crystal structure of Ta3Fe.

## Properties
ρ (g/cm³): 15.1
Calculated formation energy (eV/atom): 0.066

Unit cell a=2.871 b=4.433 c=5.251 alpha=90.00 beta=100.76 gamma=90.00
Positions (direct):
Ta 0.000 0.000 0.000
Ta 0.265 0.500 0.744
Ta 0.735 0.500 0.256
Fe 0.500 0.000 0.500

***

(6)
## Pr3Si4Ir2 (PBE)

Data for an optimized crystal structure of Pr3Si4Ir2.

## Properties
Polymorph energy (0 for the lowest one) (eV/f.u.): 0.00
Raw formation energy (eV/atom): -0.8659
ρ (g/cm³): 8.2

Unit cell a=6.107 b=6.107 c=8.233 alpha=108.21 beta=108.21 gamma=40.03
Positions (direct):
Pr 0.000 0.000 0.000
Pr 0.393 0.393 0.308
Pr 0.607 0.607 0.692
Si 0.111 0.111 0.398
Si 0.279 0.279 0.924
Si 0.721 0.721 0.076
Si 0.889 0.889 0.602
Ir 0.304 0.304 0.642
Ir 0.696 0.696 0.358

***

The lowest ρ belongs to which entry?
K2AlIrC

***

What is the formula in the second record?
K2AlIrC

***

Please write out number 6 again, unchanged.
## Pr3Si4Ir2 (PBE)

Data for an optimized crystal structure of Pr3Si4Ir2.

## Properties
Polymorph energy (0 for the lowest one) (eV/f.u.): 0.00
Raw formation energy (eV/atom): -0.8659
ρ (g/cm³): 8.2

Unit cell a=6.107 b=6.107 c=8.233 alpha=108.21 beta=108.21 gamma=40.03
Positions (direct):
Pr 0.000 0.000 0.000
Pr 0.393 0.393 0.308
Pr 0.607 0.607 0.692
Si 0.111 0.111 0.398
Si 0.279 0.279 0.924
Si 0.721 0.721 0.076
Si 0.889 0.889 0.602
Ir 0.304 0.304 0.642
Ir 0.696 0.696 0.358